Compound: KHg2Mo
Source: Alexandria
Functional: PBE
Structure: optimized geometry

Computed properties:
energy of formation: 2.1 eV per formula unit

extended XYZ file:
```
4
Lattice="-3.133 -0.672 2.776 -0.701 -2.481 -1.392 4.253 -6.459 3.237" Properties=species:S:1:pos:R:3 pbc="T T T"
Hg 2.076 -4.707 1.204
Hg 3.953 -6.223 2.955
K -0.678 -2.571 1.849
Mo 1.098 -7.041 2.772
```

=====

Compound: Sr3Sc2UAs6
Source: Alexandria
Functional: PBE
Structure: optimized geometry

Computed properties:
energy of formation: -13.7 eV per formula unit

extended XYZ file:
```
12
Lattice="-3.907 -5.774 1.594 6.447 0.884 2.967 -3.804 5.117 3.873" Properties=species:S:1:pos:R:3 pbc="T T T"
As 0.644 1.394 6.778
As -2.765 -0.798 6.326
As -2.349 2.779 4.241
As -1.908 -1.167 1.656
As 1.085 -2.552 4.193
As 1.501 1.024 2.108
Sc -0.452 -3.552 2.052
Sc 2.991 -1.338 2.509
U 0.000 0.000 0.000
Sr -0.632 0.113 4.217
Sr 2.800 2.320 4.672
Sr -4.064 -2.093 3.762
```

=====

Compound: KBa
Source: Alexandria
Functional: PBE
Structure: optimized geometry

Computed properties:
energy of formation: 0.7 eV per formula unit

extended XYZ file:
```
2
Lattice="-4.026 1.923 3.778 -2.056 -3.569 4.149 1.434 0.892 5.597" Properties=species:S:1:pos:R:3 pbc="T T T"
K -2.324 -0.377 6.762
Ba 0.000 0.000 0.000
```